! PBE-GGA CaLaPdPt, relaxed; values from VASP
&SYSTEM
  ibrav = 0, nat = 4, ntyp = 4
/
ATOMIC_SPECIES
Ca 40.08 Ca.upf
La 138.91 La.upf
Pd 106.42 Pd.upf
Pt 195.08 Pt.upf
ATOMIC_POSITIONS crystal
Ca 0.000 0.000 0.000
La 0.500 0.723 0.723
Pd 0.000 0.281 0.281
Pt 0.500 0.445 0.445
CELL_PARAMETERS angstrom
4.545 0.000 0.000
0.000 1.987 5.418
0.000 -1.987 5.418
! symmetry: No. 38
! crystal system: orthorhombic


! PBE-GGA YSn3Ir, relaxed; values from VASP
&SYSTEM
  ibrav = 0, nat = 5, ntyp = 3
/
ATOMIC_SPECIES
Y 88.91 Y.upf
Sn 118.71 Sn.upf
Ir 192.22 Ir.upf
ATOMIC_POSITIONS crystal
Y 0.000 0.000 0.000
Sn 0.000 0.500 0.500
Sn 0.500 0.000 0.500
Sn 0.500 0.500 0.000
Ir 0.500 0.500 0.500
CELL_PARAMETERS angstrom
5.186 0.000 0.000
0.000 5.186 0.000
0.000 0.000 5.186
! symmetry: No. 221
! crystal system: cubic


| no. | DOS(E_F) (states/eV per atom) | E_tot (eV/atom) | energy of formation from the pure elements (eV/atom) |
| --- | --- | --- | --- |
| 1 | 0.57 | -5.4688 | -0.93 |
| 2 | 0.46 | -5.3793 | 0.09 |